A crystal of HfMg2CdRu relaxed with PBEsol. Source: Alexandria via LeMat-Bulk, functional meta-GGA SCAN.

```
data_HfMg2CdRu
_chemical_formula_sum 'Hf1 Mg2 Cd1 Ru1'
_space_group_name_H-M_alt 'P 4/m m m'
_space_group_IT_number 123
_space_group_name_Hall '-P 4 2'
_cell_length_a 4.745
_cell_length_b 4.745
_cell_length_c 5.260
_cell_angle_alpha 90.00
_cell_angle_beta 90.00
_cell_angle_gamma 90.00
loop_
_atom_site_label
_atom_site_type_symbol
_atom_site_fract_x
_atom_site_fract_y
_atom_site_fract_z
Hf1 Hf 0.000 0.000 0.000
Mg1 Mg 0.000 0.500 0.500
Cd1 Cd 0.000 0.000 0.500
Ru1 Ru 0.500 0.500 0.000
```

The calculation puts the density of states at the Fermi level at 3.4 states/eV per cell. The value obtained for the formation energy is 5.70 eV/f.u.